(one)
## CaPm4Te5 (PBE)

Data for a geometry-optimized CaPm4Te5 structure.

```
data_CaPm4Te5
_cell_length_a 4.458
_cell_length_b 4.458
_cell_length_c 31.834
_cell_angle_alpha 90.00
_cell_angle_beta 90.00
_cell_angle_gamma 90.00
_symmetry_space_group_name_H-M 'I 4/m m m'
_symmetry_Int_Tables_number 139
_symmetry_space_group_name_Hall '-I 4 2'
loop_
_atom_site_label
_atom_site_fract_x
_atom_site_fract_y
_atom_site_fract_z
Ca1 0.000 0.000 0.000
Pm1 0.000 0.000 0.197
Pm2 0.000 0.000 0.396
Te1 0.000 0.000 0.098
Te2 0.000 0.000 0.297
Te3 0.000 0.000 0.500
```

Properties
- M_tot: 0.00 μB/f.u.


(two)
## CaPm4Te5 (PBE)

Data for a geometry-optimized CaPm4Te5 structure.

```
data_CaPm4Te5
_cell_length_a 9.995
_cell_length_b 9.995
_cell_length_c 6.324
_cell_angle_alpha 90.00
_cell_angle_beta 90.00
_cell_angle_gamma 90.00
_symmetry_space_group_name_H-M 'I 4/m'
_symmetry_Int_Tables_number 87
_symmetry_space_group_name_Hall '-I 4'
loop_
_atom_site_label
_atom_site_fract_x
_atom_site_fract_y
_atom_site_fract_z
Ca1 0.000 0.000 0.000
Pm1 0.099 0.302 0.500
Te1 0.000 0.000 0.500
Te2 0.099 0.296 0.000
```

Properties
- M_tot: 0.00 μB/f.u.


Energies relative to the minimum, meV/atom: (one) 0; (two) 7


(one)
## CaPm2Th (PBE)

Data for a geometry-optimized CaPm2Th structure.

```
data_CaPm2Th
_cell_length_a 5.206
_cell_length_b 5.206
_cell_length_c 5.084
_cell_angle_alpha 90.00
_cell_angle_beta 90.00
_cell_angle_gamma 90.00
_symmetry_space_group_name_H-M 'P 4/m m m'
_symmetry_Int_Tables_number 123
_symmetry_space_group_name_Hall '-P 4 2'
loop_
_atom_site_label
_atom_site_fract_x
_atom_site_fract_y
_atom_site_fract_z
Ca1 0.000 0.000 0.000
Pm1 0.000 0.500 0.500
Th1 0.500 0.500 0.000
```

Properties
- M_tot: 0.00 μB/f.u.


(two)
## CaPm2Th (PBE)

Data for a geometry-optimized CaPm2Th structure.

```
data_CaPm2Th
_cell_length_a 3.674
_cell_length_b 3.674
_cell_length_c 10.531
_cell_angle_alpha 90.00
_cell_angle_beta 90.00
_cell_angle_gamma 90.00
_symmetry_space_group_name_H-M 'P 4/m m m'
_symmetry_Int_Tables_number 123
_symmetry_space_group_name_Hall '-P 4 2'
loop_
_atom_site_label
_atom_site_fract_x
_atom_site_fract_y
_atom_site_fract_z
Ca1 0.000 0.000 0.000
Pm1 0.500 0.500 0.274
Th1 0.000 0.000 0.500
```

Properties
- M_tot: 0.00 μB/f.u.


(three)
## CaPm2Th (PBE)

Data for a geometry-optimized CaPm2Th structure.

```
data_CaPm2Th
_cell_length_a 3.6547
_cell_length_b 3.6547
_cell_length_c 24.5091
_cell_angle_alpha 90.00
_cell_angle_beta 90.00
_cell_angle_gamma 120.00
_symmetry_space_group_name_H-M 'P 63/m m c'
_symmetry_Int_Tables_number 194
_symmetry_space_group_name_Hall '-P 6c 2c'
loop_
_atom_site_label
_atom_site_fract_x
_atom_site_fract_y
_atom_site_fract_z
Ca1 0.3333 0.6667 0.2500
Pm1 0.3333 0.6667 0.6159
Th1 0.0000 0.0000 0.0000
```

Properties
- M_tot: 0.00 μB/f.u.


Energies relative to the minimum, meV/atom: (one) 115; (two) 0; (three) 10


(one)
## CaPm2Th (PBE)

Data for a geometry-optimized CaPm2Th structure.

```
data_CaPm2Th
_cell_length_a 8.228
_cell_length_b 8.228
_cell_length_c 8.228
_cell_angle_alpha 90.00
_cell_angle_beta 90.00
_cell_angle_gamma 90.00
_symmetry_space_group_name_H-M 'F m -3 m'
_symmetry_Int_Tables_number 225
_symmetry_space_group_name_Hall '-F 4 2 3'
loop_
_atom_site_label
_atom_site_fract_x
_atom_site_fract_y
_atom_site_fract_z
Ca1 0.000 0.000 0.000
Pm1 0.250 0.250 0.250
Th1 0.000 0.000 0.500
```

Properties
- M_tot: 0.79 μB/f.u.


(two)
## CaPm2Th (PBE)

Data for a geometry-optimized CaPm2Th structure.

```
data_CaPm2Th
_cell_length_a 3.6609
_cell_length_b 3.6609
_cell_length_c 36.4248
_cell_angle_alpha 90.00
_cell_angle_beta 90.00
_cell_angle_gamma 120.00
_symmetry_space_group_name_H-M 'R 3 m'
_symmetry_Int_Tables_number 160
_symmetry_space_group_name_Hall 'R 3 -2"'
loop_
_atom_site_label
_atom_site_fract_x
_atom_site_fract_y
_atom_site_fract_z
Ca1 0.0000 0.0000 0.0000
Pm1 0.0000 0.0000 0.5768
Pm2 0.0000 0.0000 0.7550
Th1 0.0000 0.0000 0.1658
```

Properties
- M_tot: 0.00 μB/f.u.


Energies relative to the minimum, meV/atom: (one) 186; (two) 0


(one)
## CaPmTh2 (PBE)

Data for a geometry-optimized CaPmTh2 structure.

```
data_CaPmTh2
_cell_length_a 3.5238
_cell_length_b 3.5238
_cell_length_c 38.9134
_cell_angle_alpha 90.00
_cell_angle_beta 90.00
_cell_angle_gamma 120.00
_symmetry_space_group_name_H-M 'R -3 m'
_symmetry_Int_Tables_number 166
_symmetry_space_group_name_Hall '-R 3 2"'
loop_
_atom_site_label
_atom_site_fract_x
_atom_site_fract_y
_atom_site_fract_z
Ca1 0.0000 0.0000 0.0000
Pm1 0.0000 0.0000 0.5000
Th1 0.0000 0.0000 0.0892
```

Properties
- M_tot: 0.00 μB/f.u.


(two)
## CaPmTh2 (PBE)

Data for a geometry-optimized CaPmTh2 structure.

```
data_CaPmTh2
_cell_length_a 5.032
_cell_length_b 5.032
_cell_length_c 5.334
_cell_angle_alpha 90.00
_cell_angle_beta 90.00
_cell_angle_gamma 90.00
_symmetry_space_group_name_H-M 'P 4/m m m'
_symmetry_Int_Tables_number 123
_symmetry_space_group_name_Hall '-P 4 2'
loop_
_atom_site_label
_atom_site_fract_x
_atom_site_fract_y
_atom_site_fract_z
Ca1 0.000 0.000 0.000
Pm1 0.500 0.500 0.000
Th1 0.000 0.500 0.500
```

Properties
- M_tot: 0.00 μB/f.u.


Energies relative to the minimum, meV/atom: (one) 68; (two) 0